VASP calculation (SCAN) on a PBEsol-optimized structure of NbFeSe5.

a = 3.452 Å, b = 9.066 Å, c = 9.810 Å
α = 114.05°, β = 90.00°, γ = 90.00°
Site moments in Bohr magnetons follow the coordinates.
Sites, in units of the cell vectors:
Nb (0.750, 0.768, 0.864)  -0.01
Nb (0.250, 0.232, 0.136)  -0.01
Fe (0.750, 0.056, 0.406)  0.83
Fe (0.250, 0.944, 0.594)  0.83
Se (0.750, 0.339, 0.995)  0.00
Se (0.250, 0.661, 0.005)  0.00
Se (0.750, 0.473, 0.265)  -0.01
Se (0.250, 0.527, 0.735)  -0.01
Se (0.750, 0.017, 0.142)  0.00
Se (0.250, 0.983, 0.858)  0.00
Se (0.750, 0.137, 0.657)  0.01
Se (0.250, 0.863, 0.343)  0.01
Se (0.750, 0.753, 0.583)  -0.04
Se (0.250, 0.247, 0.417)  -0.04

Properties
energy: -22.1630 eV per atom
E_form (uncorrected): -0.50 eV per atom
space group: P2_1/m (11)